[1]
DFT (GGA-PBE) results for a geometry-optimized FeRePb2 structure.

Lattice parameters (Å, degrees): 4.7052 4.7052 4.7052 60.00 60.00 60.00
Fractional coordinates of all 4 atoms:
Fe 0.0000 0.0000 0.0000
Pb 0.2500 0.2500 0.2500
Pb 0.7500 0.7500 0.7500
Re 0.5000 0.5000 0.5000

Summary:
* ΔE_f: 1091 meV per atom
* SG: Fm-3m
* E above lowest polymorph: 647 meV/atom
* total DFT energy (no corrections): -5.99 eV per atom

[2]
DFT (GGA-PBE) results for a geometry-optimized FeRe2SnPb structure.

Lattice parameters (Å, degrees): 4.6106 4.7266 4.6106 90.00 90.00 90.00
Fractional coordinates of all 5 atoms:
Fe 0.0000 0.0000 0.0000
Re 0.0000 0.0000 0.5000
Pb 0.5000 0.5000 0.5000
Sn 0.0000 0.5000 0.0000
Re 0.5000 0.0000 0.0000

Summary:
* ΔE_f: 1271 meV per atom
* SG: P4/mmm
* total DFT energy (no corrections): -6.94 eV per atom

[3]
DFT (GGA-PBE) results for a geometry-optimized TaFeRe2Pb structure.

Lattice parameters (Å, degrees): 4.5281 4.5825 4.5281 90.00 90.00 90.00
Site moments in Bohr magnetons follow the coordinates.
Fractional coordinates of all 5 atoms:
Ta 0.0000 0.5000 0.0000  -0.02
Re 0.0000 0.0000 0.5000  0.05
Re 0.5000 0.0000 0.0000  0.03
Fe 0.0000 0.0000 0.0000  -0.01
Pb 0.5000 0.5000 0.5000  0.00

Summary:
* ΔE_f: 1211 meV per atom
* SG: P4/mmm
* total DFT energy (no corrections): -8.57 eV per atom

[4]
DFT (GGA-PBE) results for a geometry-optimized TiFe2RePb structure.

Lattice parameters (Å, degrees): 4.2451 5.1562 4.2451 90.00 90.00 90.00
Site moments in Bohr magnetons follow the coordinates.
Fractional coordinates of all 5 atoms:
Pb 0.0000 0.5000 0.0000  -0.01
Fe 0.5000 0.0000 0.0000  1.84
Ti 0.0000 0.0000 0.0000  -0.46
Re 0.5000 0.5000 0.5000  1.61
Fe 0.0000 0.0000 0.5000  1.84

Summary:
* ΔE_f: 1701 meV per atom
* SG: P4/mmm
* total DFT energy (no corrections): -6.49 eV per atom

[5]
DFT (GGA-PBE) results for a geometry-optimized FeRhPb2 structure.

Lattice parameters (Å, degrees): 4.7785 4.7785 4.7785 60.00 60.00 60.00
Site moments in Bohr magnetons follow the coordinates.
Fractional coordinates of all 4 atoms:
Pb 0.2500 0.2500 0.2500  -0.04
Rh 0.5000 0.5000 0.5000  0.09
Pb 0.7500 0.7500 0.7500  -0.04
Fe 0.0000 0.0000 0.0000  2.47

Summary:
* ΔE_f: 381 meV per atom
* SG: Fm-3m
* E above lowest polymorph: 232 meV/atom
* total DFT energy (no corrections): -5.43 eV per atom

[6]
DFT (GGA-PBE) results for a geometry-optimized Fe2Rh2Pb structure.

Lattice parameters (Å, degrees): 7.3998 7.3998 2.9401 90.00 90.00 90.00
Site moments in Bohr magnetons follow the coordinates.
Fractional coordinates of all 10 atoms:
Fe 0.1386 0.3614 0.0000  3.01
Pb 0.0000 0.0000 0.0000  -0.02
Rh 0.6476 0.8524 0.5000  0.72
Rh 0.1476 0.6476 0.5000  0.72
Rh 0.3524 0.1476 0.5000  0.72
Fe 0.6386 0.1386 0.0000  3.01
Pb 0.5000 0.5000 0.0000  -0.02
Fe 0.3614 0.8614 0.0000  3.01
Rh 0.8524 0.3524 0.5000  0.72
Fe 0.8614 0.6386 0.0000  3.01

Summary:
* ΔE_f: 217 meV per atom
* SG: P4/mbm
* E above lowest polymorph: 48 meV/atom
* total DFT energy (no corrections): -6.85 eV per atom

[7]
DFT (GGA-PBE) results for a geometry-optimized FeRh2Pb2 structure.

Lattice parameters (Å, degrees): 6.7264 6.7264 4.2573 90.00 90.00 90.00
Site moments in Bohr magnetons follow the coordinates.
Fractional coordinates of all 10 atoms:
Rh 0.3547 0.8547 0.0000  0.24
Fe 0.0000 0.0000 0.0000  3.08
Fe 0.5000 0.5000 0.0000  3.08
Pb 0.3307 0.1693 0.5000  -0.01
Pb 0.1693 0.6693 0.5000  -0.01
Rh 0.8547 0.6453 0.0000  0.26
Rh 0.1453 0.3547 0.0000  0.26
Pb 0.6693 0.8307 0.5000  -0.01
Rh 0.6453 0.1453 0.0000  0.24
Pb 0.8307 0.3307 0.5000  -0.01

Summary:
* ΔE_f: 221 meV per atom
* SG: P4/mbm
* total DFT energy (no corrections): -5.90 eV per atom

[8]
DFT (GGA-PBE) results for a geometry-optimized FeRhPb2 structure.

Lattice parameters (Å, degrees): 3.2639 3.2643 8.1359 90.00 90.00 90.00
Site moments in Bohr magnetons follow the coordinates.
Fractional coordinates of all 4 atoms:
Pb 0.0000 0.0000 0.9298  -0.07
Fe 0.5000 0.5000 0.6980  2.91
Pb 0.5000 0.5000 0.3180  -0.02
Rh 0.0000 0.0000 0.5542  0.63

Summary:
* ΔE_f: 148 meV per atom
* SG: P4mm
* E above lowest polymorph: 0 meV/atom
* total DFT energy (no corrections): -5.66 eV per atom

ΔE_f of number 2 (FeRe2SnPb)? 1271 meV per atom

What did the sixth record say?
DFT (GGA-PBE) results for a geometry-optimized Fe2Rh2Pb structure.

Lattice parameters (Å, degrees): 7.3998 7.3998 2.9401 90.00 90.00 90.00
Site moments in Bohr magnetons follow the coordinates.
Fractional coordinates of all 10 atoms:
Fe 0.1386 0.3614 0.0000  3.01
Pb 0.0000 0.0000 0.0000  -0.02
Rh 0.6476 0.8524 0.5000  0.72
Rh 0.1476 0.6476 0.5000  0.72
Rh 0.3524 0.1476 0.5000  0.72
Fe 0.6386 0.1386 0.0000  3.01
Pb 0.5000 0.5000 0.0000  -0.02
Fe 0.3614 0.8614 0.0000  3.01
Rh 0.8524 0.3524 0.5000  0.72
Fe 0.8614 0.6386 0.0000  3.01

Summary:
* ΔE_f: 217 meV per atom
* SG: P4/mbm
* E above lowest polymorph: 48 meV/atom
* total DFT energy (no corrections): -6.85 eV per atom

What did the first record say?
DFT (GGA-PBE) results for a geometry-optimized FeRePb2 structure.

Lattice parameters (Å, degrees): 4.7052 4.7052 4.7052 60.00 60.00 60.00
Fractional coordinates of all 4 atoms:
Fe 0.0000 0.0000 0.0000
Pb 0.2500 0.2500 0.2500
Pb 0.7500 0.7500 0.7500
Re 0.5000 0.5000 0.5000

Summary:
* ΔE_f: 1091 meV per atom
* SG: Fm-3m
* E above lowest polymorph: 647 meV/atom
* total DFT energy (no corrections): -5.99 eV per atom